Record 1
Rb3ErSb2O8 | GGA-PBE | optimized geometry

Unit cell a=6.2072 b=6.2072 c=8.0887 alpha=90.00 beta=90.00 gamma=120.00
Last column: nearest neighbours and their distance in Å.
Space group P-3m1 (No. 164)
Inequivalent atoms, fractional coordinates:
Rb 0.0000 0.0000 0.0000 [1 per cell]  12 O 3.27-3.59
Rb 0.3333 0.6667 0.6850 [2 per cell]  1 O 2.66
Er 0.0000 0.0000 0.5000 [1 per cell]  6 O 2.25
Sb 0.3333 0.6667 0.2442 [2 per cell]  4 O 1.87-1.92
O 0.1688 0.3375 0.3361 [6 per cell]  1 Sb 1.92
O 0.3333 0.6667 0.0135 [2 per cell]  1 Sb 1.87

## Properties
Energy relative to the elements, uncorrected in meV per atom: -1886
VASP energy in eV per atom: -5.84

Record 2
TlV2SiAs | GGA-PBE | optimized geometry

Unit cell a=5.1544 b=5.1544 c=5.1022 alpha=90.00 beta=90.00 gamma=90.00
Last column: nearest neighbours and their distance in Å.
Space group P4/mmm (No. 123)
Inequivalent atoms, fractional coordinates:
Tl 0.0000 0.0000 0.0000 [1 per cell]  2 As 2.55, 4 V 2.58
V 0.0000 0.5000 0.0000 [2 per cell]  2 Tl 2.58
Si 0.5000 0.5000 0.5000 [1 per cell]  8 V 3.63, 4 As 3.64
As 0.0000 0.0000 0.5000 [1 per cell]  2 Tl 2.55

## Properties
Energy relative to the elements, uncorrected in meV per atom: 1814
VASP energy in eV per atom: -4.32

Record 3
BaRuIO4 | GGA-PBE | optimized geometry

Unit cell a=12.2037 b=7.9593 c=7.4341 alpha=90.00 beta=101.72 gamma=90.00
Last column: nearest neighbours and their distance in Å.
Space group C2/m (No. 12)
Inequivalent atoms, fractional coordinates:
Ba 0.2491 0.0000 0.3501 [4 per cell]  6 O 2.66-2.82
Ru 0.1296 0.0000 0.7542 [4 per cell]  4 O 1.75-1.79
I 0.0186 0.5000 0.2430 [4 per cell]  2 Ba 3.54-3.70, 2 I 3.55-3.94, 4 O 3.76-3.89
O 0.0161 0.0000 0.2786 [4 per cell]  1 Ru 1.75
O 0.1768 0.1729 0.6360 [8 per cell]  1 Ru 1.79
O 0.1992 0.0000 0.9847 [4 per cell]  1 Ru 1.75

## Properties
Energy relative to the elements, uncorrected in meV per atom: -1314
VASP energy in eV per atom: -5.97

Record 4
Pm6TlPb | GGA-PBE | optimized geometry

Unit cell a=4.9683 b=4.9683 c=9.9163 alpha=90.00 beta=90.00 gamma=90.00
Last column: nearest neighbours and their distance in Å.
Space group P4/mmm (No. 123)
Inequivalent atoms, fractional coordinates:
Pm 0.0000 0.0000 0.0000 [1 per cell]  8 Pm 3.51, 4 Tl 3.51
Pm 0.0000 0.0000 0.5000 [1 per cell]  8 Pm 3.51, 4 Pb 3.51
Pm 0.0000 0.5000 0.2499 [4 per cell]  2 Tl 3.51, 8 Pm 3.51, 2 Pb 3.51
Tl 0.5000 0.5000 0.0000 [1 per cell]  12 Pm 3.51
Pb 0.5000 0.5000 0.5000 [1 per cell]  12 Pm 3.51

## Properties
VASP energy in eV per atom: -4.59

Record 5
CeMg | GGA-PBE | optimized geometry

Unit cell a=3.1034 b=3.1034 c=17.8706 alpha=90.00 beta=90.00 gamma=120.00
Last column: nearest neighbours and their distance in Å.
Space group R-3m (No. 166, hexagonal axes)
Inequivalent atoms, fractional coordinates:
Ce 0.0000 0.0000 0.0000 [3 per cell]  6 Ce 3.10
Mg 0.0000 0.0000 0.5000 [3 per cell]  6 Mg 3.10

## Properties
VASP energy in eV per atom: -3.74

Record 6
Pm5Sn5H2 | GGA-PBE | optimized geometry

Unit cell a=10.7714 b=4.4455 c=12.9536 alpha=90.00 beta=106.89 gamma=90.00
Last column: nearest neighbours and their distance in Å.
Space group C2/m (No. 12)
Inequivalent atoms, fractional coordinates:
Pm 0.0000 0.0000 0.0000 [2 per cell]  2 H 2.47
Pm 0.0520 0.5000 0.7982 [4 per cell]  2 H 2.42
Pm 0.1517 0.0000 0.3921 [4 per cell]  1 H 2.47
Sn 0.0000 0.5000 0.5000 [2 per cell]  4 Sn 3.28, 6 Pm 3.30-3.60
Sn 0.1730 0.0000 0.6665 [4 per cell]  6 Pm 3.15-3.49, 3 Sn 3.18-3.28, 1 H 3.23
Sn 0.2223 0.5000 0.0775 [4 per cell]  3 Sn 3.17-3.18, 5 Pm 3.21-3.42, 1 H 3.28
H 0.0353 0.0000 0.1973 [4 per cell]  4 Pm 2.42-2.47

## Properties
VASP energy in eV per atom: -4.79

| no. | spin magnetization (μB per formula unit) |
| --- | --- |
| 1 | 0.000 |
| 2 | 5.976 |
| 3 | 1.271 |
| 4 | 0.000 |
| 5 | 0.004 |
| 6 | 0.000 |